Density functional theory data (PBEsol) for a relaxed structure of Ti3In3Rh2. Values from VASP.

Geometry as Quantum ESPRESSO input:
```
&SYSTEM
  ibrav = 0, nat = 8, ntyp = 3
/
ATOMIC_SPECIES
Ti 47.87 Ti.upf
In 114.82 In.upf
Rh 102.91 Rh.upf
CELL_PARAMETERS angstrom
7.2414 0.0000 0.0000
-3.6207 6.2712 0.0000
0.0000 0.0000 3.0145
ATOMIC_POSITIONS crystal
Ti 0.0000 0.5837 0.0000
Ti 0.4163 0.4163 0.0000
Ti 0.5837 0.0000 0.0000
In 0.0000 0.2369 0.5000
In 0.2369 0.0000 0.5000
In 0.7631 0.7631 0.5000
Rh 0.3333 0.6667 0.5000
Rh 0.6667 0.3333 0.5000
```

- SG = No. 189
- energy relative to the elements (eV/f.u.) = -3.97
- V (Å³/f.u.) = 136.9
- crystal system = hexagonal